Entry 1:
First-principles (PBE) data for a relaxed Nd3Cd3Pt2Au crystal, as listed in the Open Quantum Materials Database.

Computed properties:
The crystal system is hexagonal. For the volume, the calculation gives 23.63 A^3/atom. For the calculated formation energy, the calculation gives -0.7956 eV/atom.

Cell: 7.8244 7.8244 4.0108 Å, 90.00 90.00 120.00°
Closest atoms and distances in Å follow each position.
Space group P-62m (No. 189)
One atom of each set of equivalent atoms:
Nd1 0.0000 0.5903 0.0000  4 Pt 3.10, 1 Au 3.21, 6 Cd 3.27-3.45
Cd1 0.0000 0.2594 0.5000  2 Au 2.85, 2 Pt 2.94
Pt1 0.3333 0.6667 0.5000  3 Cd 2.94, 6 Nd 3.10
Au1 0.0000 0.0000 0.0000  6 Cd 2.85

Entry 2:
First-principles (PBE) data for a relaxed RbZr2 crystal, as listed in the Open Quantum Materials Database.

Computed properties:
The crystal system is orthorhombic. For the volume, the calculation gives 35.85 A^3/atom.

Cell: 14.5094 5.9088 5.0183 Å, 90.00 90.00 90.00°
Closest atoms and distances in Å follow each position.
Space group Cmcm (No. 63)
One atom of each set of equivalent atoms:
Rb1 0.0000 0.2132 0.2500  2 Rb 3.56
Zr1 0.2177 0.3688 0.7500  6 Zr 2.95-3.10

Entry 3:
First-principles (PBE) data for a relaxed ZnFeAgPd crystal, as listed in the Open Quantum Materials Database.

Computed properties:
The crystal system is cubic. For the volume, the calculation gives 15.01 A^3/atom. For the calculated formation energy, the calculation gives 0.0455 eV/atom.

Cell: 6.2157 6.2157 6.2157 Å, 90.00 90.00 90.00°
Closest atoms and distances in Å follow each position.
Space group F-43m (No. 216)
One atom of each set of equivalent atoms:
Zn1 0.0000 0.0000 0.0000  4 Ag 2.69, 4 Fe 2.69
Fe1 0.2500 0.2500 0.2500  4 Pd 2.69, 4 Zn 2.69
Ag1 0.2500 0.2500 0.7500  4 Pd 2.69, 4 Zn 2.69
Pd1 0.0000 0.0000 0.5000  4 Fe 2.69, 4 Ag 2.69

Entry 4:
First-principles (PBE) data for a relaxed Ba2Cu crystal, as listed in the Open Quantum Materials Database.

Computed properties:
The crystal system is cubic. For the volume, the calculation gives 42.36 A^3/atom.

Cell: 10.0551 10.0551 10.0551 Å, 90.00 90.00 90.00°
Closest atoms and distances in Å follow each position.
Space group Fd-3m (No. 227, origin choice 2)
One atom of each set of equivalent atoms:
Ba1 0.0000 0.0000 0.0000  6 Ba 3.56
Cu1 0.1250 0.1250 0.6250  12 Ba 4.17, 4 Cu 4.35

These records have VASP energy values of -4.390 -5.211 -4.348 -1.680 eV per atom, in the order they appear.